Entry 1:
# BaCuH2F8 | Alexandria via LeMat-Bulk | PBE-GGA | relaxed
# Density in g/cm³: 3.59
# Electronic total energy in eV per cell: -50.73
# Size of the total moment in μB/atom: 0.0838
# DOS at the Fermi energy in states/eV per atom: 0.23
data_BaCuH2F8
_chemical_formula_sum 'Ba1 Cu1 H2 F8'
_symmetry_space_group_name_H-M 'P 1'
_symmetry_Int_Tables_number 1
_symmetry_space_group_name_Hall 'P 1'
_cell_length_a 4.602
_cell_length_b 4.605
_cell_length_c 8.463
_cell_angle_alpha 94.84
_cell_angle_beta 86.85
_cell_angle_gamma 67.49
loop_
_atom_site_label
_atom_site_fract_x
_atom_site_fract_y
_atom_site_fract_z
F1 0.312 0.695 0.209
F2 0.229 0.229 0.999
F3 0.792 0.216 0.189
F4 0.652 0.652 0.503
F5 0.208 0.784 0.811
F6 0.688 0.305 0.791
F7 0.348 0.348 0.497
F8 0.771 0.771 0.001
Ba1 0.000 0.000 0.500
H1 0.507 0.500 0.196
H2 0.493 0.500 0.804
Cu1 0.000 0.000 0.000

Entry 2:
# Ba2CuHF | Alexandria via LeMat-Bulk | PBE-GGA | relaxed
# Density in g/cm³: 5.23
# Electronic total energy in eV per cell: -17.45
# Size of the total moment in μB/atom: 0.0000
# DOS at the Fermi energy in states/eV per atom: 0.73
data_Ba2CuHF
_chemical_formula_sum 'Ba2 Cu1 H1 F1'
_symmetry_space_group_name_H-M 'P 1'
_symmetry_Int_Tables_number 1
_symmetry_space_group_name_Hall 'P 1'
_cell_length_a 5.553
_cell_length_b 3.685
_cell_length_c 5.553
_cell_angle_alpha 90.00
_cell_angle_beta 90.00
_cell_angle_gamma 90.00
loop_
_atom_site_label
_atom_site_fract_x
_atom_site_fract_y
_atom_site_fract_z
H1 0.000 0.000 0.000
F1 0.500 0.500 0.500
Ba1 0.000 0.000 0.500
Ba2 0.500 0.000 0.000
Cu1 0.000 0.500 0.000

Entry 3:
# Ba2Cu3HgF12 | Alexandria via LeMat-Bulk | PBE-GGA | relaxed
# Density in g/cm³: 5.53
# Raw formation energy in meV per atom: -2216
# Size of the total moment in μB/atom: 0.1672
# DOS at the Fermi energy in states/eV per atom: 0.39
data_Ba2Cu3HgF12
_chemical_formula_sum 'Ba2 Cu3 Hg1 F12'
_symmetry_space_group_name_H-M 'P 1'
_symmetry_Int_Tables_number 1
_symmetry_space_group_name_Hall 'P 1'
_cell_length_a 7.250
_cell_length_b 7.250
_cell_length_c 7.250
_cell_angle_alpha 59.85
_cell_angle_beta 59.85
_cell_angle_gamma 59.85
loop_
_atom_site_label
_atom_site_fract_x
_atom_site_fract_y
_atom_site_fract_z
F1 0.870 0.286 0.286
F2 0.863 0.412 0.863
F3 0.286 0.870 0.286
F4 0.714 0.130 0.714
F5 0.137 0.137 0.588
F6 0.588 0.137 0.137
F7 0.137 0.588 0.137
F8 0.412 0.863 0.863
F9 0.286 0.286 0.870
F10 0.714 0.714 0.130
F11 0.130 0.714 0.714
F12 0.863 0.863 0.412
Ba1 0.387 0.387 0.387
Ba2 0.613 0.613 0.613
Hg1 0.000 0.000 0.000
Cu1 0.000 0.500 0.000
Cu2 0.000 0.000 0.500
Cu3 0.500 0.000 0.000

Entry 4:
# Ba2HoCu3F12 | Alexandria via LeMat-Bulk | PBE-GGA | relaxed
# Density in g/cm³: 5.01
# Raw formation energy in meV per atom: -2703
# Size of the total moment in μB/atom: 0.1114
# DOS at the Fermi energy in states/eV per atom: 0.35
data_Ba2HoCu3F12
_chemical_formula_sum 'Ba2 Ho1 Cu3 F12'
_symmetry_space_group_name_H-M 'P 1'
_symmetry_Int_Tables_number 1
_symmetry_space_group_name_Hall 'P 1'
_cell_length_a 8.101
_cell_length_b 8.101
_cell_length_c 8.101
_cell_angle_alpha 49.73
_cell_angle_beta 49.73
_cell_angle_gamma 49.73
loop_
_atom_site_label
_atom_site_fract_x
_atom_site_fract_y
_atom_site_fract_z
Ba1 0.615 0.615 0.615
Ba2 0.385 0.385 0.385
F1 0.879 0.879 0.374
F2 0.657 0.657 0.095
F3 0.121 0.121 0.626
F4 0.343 0.343 0.905
F5 0.905 0.343 0.343
F6 0.343 0.905 0.343
F7 0.095 0.657 0.657
F8 0.374 0.879 0.879
F9 0.626 0.121 0.121
F10 0.121 0.626 0.121
F11 0.879 0.374 0.879
F12 0.657 0.095 0.657
Cu1 0.500 0.000 0.000
Cu2 0.000 0.000 0.500
Cu3 0.000 0.500 0.000
Ho1 0.000 0.000 0.000

Entry 5:
# BaInCuF2 | Alexandria via LeMat-Bulk | PBE-GGA | relaxed
# Density in g/cm³: 5.15
# Raw formation energy in meV per atom: -1530
# Size of the total moment in μB/atom: 0.0000
# DOS at the Fermi energy in states/eV per atom: 0.29
data_BaInCuF2
_chemical_formula_sum 'Ba1 In1 Cu1 F2'
_symmetry_space_group_name_H-M 'P 1'
_symmetry_Int_Tables_number 1
_symmetry_space_group_name_Hall 'P 1'
_cell_length_a 4.751
_cell_length_b 5.055
_cell_length_c 4.751
_cell_angle_alpha 90.00
_cell_angle_beta 90.00
_cell_angle_gamma 90.00
loop_
_atom_site_label
_atom_site_fract_x
_atom_site_fract_y
_atom_site_fract_z
F1 0.500 0.000 0.000
F2 0.000 0.000 0.500
In1 0.000 0.000 0.000
Ba1 0.500 0.500 0.500
Cu1 0.000 0.500 0.000

Entry 6:
# K4BaCu3F12 | Alexandria via LeMat-Bulk | PBE-GGA | relaxed
# Density in g/cm³: 3.37
# Raw formation energy in meV per atom: -2300
# Size of the total moment in μB/atom: 0.1499
data_K4BaCu3F12
_chemical_formula_sum 'K4 Ba1 Cu3 F12'
_symmetry_space_group_name_H-M 'P 1'
_symmetry_Int_Tables_number 1
_symmetry_space_group_name_Hall 'P 1'
_cell_length_a 7.698
_cell_length_b 7.698
_cell_length_c 7.698
_cell_angle_alpha 109.47
_cell_angle_beta 109.47
_cell_angle_gamma 109.47
loop_
_atom_site_label
_atom_site_fract_x
_atom_site_fract_y
_atom_site_fract_z
Cu1 0.000 0.500 0.500
Cu2 0.500 0.500 0.000
Cu3 0.500 0.000 0.500
F1 0.140 0.805 0.665
F2 0.475 0.335 0.140
F3 0.665 0.860 0.525
F4 0.860 0.195 0.335
F5 0.335 0.140 0.475
F6 0.335 0.860 0.195
F7 0.665 0.140 0.805
F8 0.140 0.475 0.335
F9 0.525 0.665 0.860
F10 0.195 0.335 0.860
F11 0.805 0.665 0.140
F12 0.860 0.525 0.665
K1 0.500 0.000 0.000
K2 0.000 0.500 0.000
K3 0.000 0.000 0.500
K4 0.500 0.500 0.500
Ba1 0.000 0.000 0.000